No. 1
5
Lattice="-2.030 -0.727 3.818 -3.990 -1.415 -2.390 1.629 -4.580 -0.006" Properties=species:S:1:pos:R:3 comment="NaMg2OsS meta-GGA SCAN single point on PBEsol structure" raw_formation_energy_mev_per_atom=1362.8 total_magnetization_mub_per_cell=2.011 pbc="T T T"
Na 0.000 0.000 0.000
S -1.015 -0.363 1.909
Mg -1.995 -0.708 -1.195
Mg 0.814 -2.290 -0.003
Os -2.195 -3.361 0.711

No. 2
4
Lattice="3.896 0.000 0.000 0.000 4.062 -0.148 0.000 -1.944 7.488" Properties=species:S:1:pos:R:3 comment="LiTe2Cl meta-GGA SCAN single point on PBEsol structure" raw_formation_energy_mev_per_atom=-810.0 de_polymorph_mev_per_atom=0 total_magnetization_mub_per_cell=0.000 pbc="T T T"
Te 1.948 2.665 1.368
Te 0.000 0.577 0.519
Cl 0.000 0.585 4.604
Li 1.948 -0.650 4.519

No. 3
4
Lattice="-0.624 -2.099 3.845 1.878 -3.946 0.697 3.339 -0.383 2.879" Properties=species:S:1:pos:R:3 comment="HfOsRh2 meta-GGA SCAN single point on PBEsol structure" e_form_ev_per_atom=-0.120 total_magnetization_mub_per_cell=2.556 pbc="T T T"
Os 2.296 -3.214 3.711
Rh 1.148 -1.607 1.855
Rh 3.444 -4.821 5.566
Hf 0.000 0.000 0.000

No. 4
4
Lattice="-2.948 1.746 -0.824 -1.702 -3.061 -0.396 -1.687 0.123 6.295" Properties=species:S:1:pos:R:3 comment="Sc2CdAg meta-GGA SCAN single point on PBEsol structure" e_form_ev_per_atom=-0.268 total_magnetization_mub_per_cell=1.447 pbc="T T T"
Cd -3.574 -0.566 4.049
Sc -1.659 0.121 6.191
Sc -2.787 -0.624 1.113
Ag -0.848 0.062 3.163

No. 5
4
Lattice="-1.057 -2.281 -0.965 2.500 -2.302 2.703 -3.343 0.178 3.242" Properties=species:S:1:pos:R:3 comment="IrRh3 meta-GGA SCAN single point on PBEsol structure" e_form_ev_per_atom=0.042 total_magnetization_mub_per_cell=0.000 pbc="T T T"
Ir 0.000 0.000 0.000
Rh -2.201 -1.052 1.140
Rh -2.063 -2.143 3.571
Rh 0.137 -1.092 2.432

No. 6
4
Lattice="-1.642 -3.086 0.103 -0.608 -1.555 3.073 -10.819 3.836 1.792" Properties=species:S:1:pos:R:3 comment="MgICl2 meta-GGA SCAN single point on PBEsol structure" raw_formation_energy_mev_per_atom=-1437.9 total_magnetization_mub_per_cell=0.274 pbc="T T T"
Mg -6.534 -0.402 2.484
I 0.000 0.000 0.000
Cl -7.033 1.812 1.516
Cl -6.035 -2.617 3.452

No. 7
4
Lattice="-3.064 0.640 1.880 -2.264 -0.414 -3.548 0.749 -6.204 0.245" Properties=species:S:1:pos:R:3 comment="SrBeCd2 meta-GGA SCAN single point on PBEsol structure" e_form_ev_per_atom=0.087 total_magnetization_mub_per_cell=0.000 pbc="T T T"
Sr -2.664 0.113 -0.834
Cd -0.231 -1.825 0.360
Cd -2.084 -3.739 1.765
Be -0.757 -3.309 -1.651

No. 8
4
Lattice="-0.076 3.180 1.031 -2.371 -0.673 -3.518 -6.211 -1.959 5.583" Properties=species:S:1:pos:R:3 comment="LiLa2Re meta-GGA SCAN single point on PBEsol structure" e_form_ev_per_atom=0.332 total_magnetization_mub_per_cell=0.012 pbc="T T T"
Li -0.038 1.590 0.516
Re -3.106 -0.980 2.791
La -5.485 0.668 2.957
La -3.173 -0.121 0.138

No. 9
8
Lattice="6.697 0.000 0.000 3.348 5.800 0.000 3.348 1.933 5.468" Properties=species:S:1:pos:R:3 comment="In7Te meta-GGA SCAN single point on PBEsol structure" raw_formation_energy_mev_per_atom=47.7 total_magnetization_mub_per_cell=0.000 pbc="T T T"
In 5.023 2.900 0.000
In 1.674 0.967 2.734
In 1.674 2.900 0.000
In 6.697 3.866 2.734
In 3.348 3.866 2.734
In 3.348 0.000 0.000
In 5.023 0.967 2.734
Te 0.000 0.000 0.000

No. 10
5
Lattice="-3.859 1.803 -0.787 -2.415 -5.005 0.374 -0.754 0.772 5.464" Properties=species:S:1:pos:R:3 comment="ScTl2CdFe meta-GGA SCAN single point on PBEsol structure" e_form_ev_per_atom=0.811 total_magnetization_mub_per_cell=1.861 pbc="T T T"
Tl -0.377 0.386 2.732
Tl -1.207 -2.503 0.187
Fe -1.930 0.902 -0.394
Sc 0.000 0.000 0.000
Cd -3.514 -1.215 2.525

No. 11
4
Lattice="4.272 0.000 0.000 0.000 4.272 0.000 0.000 0.000 9.411" Properties=species:S:1:pos:R:3 comment="BaCa2La meta-GGA SCAN single point on PBEsol structure" e_form_ev_per_atom=0.082 de_polymorph_mev_per_atom=0 total_magnetization_mub_per_cell=0.199 pbc="T T T"
Ca 0.000 0.000 2.094
Ca 0.000 0.000 7.317
Ba 2.136 2.136 4.706
La 2.136 2.136 0.000

No. 12
4
Lattice="2.859 0.000 0.000 0.000 4.646 0.000 -1.429 -2.323 5.285" Properties=species:S:1:pos:R:3 comment="Re2AgSb meta-GGA SCAN single point on PBEsol structure" raw_formation_energy_mev_per_atom=761.3 total_magnetization_mub_per_cell=0.000 pbc="T T T"
Re 0.000 0.000 0.394
Re 1.429 0.000 2.478
Sb 0.000 0.000 4.896
Ag 0.000 2.323 2.802

No. 13
4
Lattice="3.075 0.000 0.000 0.000 3.075 0.000 0.000 0.000 7.744" Properties=species:S:1:pos:R:3 comment="CrAs2Pb meta-GGA SCAN single point on PBEsol structure" e_form_ev_per_atom=0.053 total_magnetization_mub_per_cell=2.740 pbc="T T T"
As 0.000 0.000 1.359
As 0.000 0.000 6.385
Cr 1.538 1.538 0.000
Pb 1.538 1.538 3.872

No. 14
5
Lattice="4.815 0.000 0.000 0.000 5.485 0.000 0.000 0.000 5.485" Properties=species:S:1:pos:R:3 comment="CsZrCd2Re meta-GGA SCAN single point on PBEsol structure" e_form_ev_per_atom=0.534 total_magnetization_mub_per_cell=0.000 pbc="T T T"
Cd 0.000 2.743 0.000
Cd 0.000 0.000 2.743
Cs 2.407 2.743 2.743
Re 0.000 0.000 0.000
Zr 2.407 0.000 0.000

No. 15
5
Lattice="-2.008 -3.042 -3.483 4.275 -2.669 -0.134 -1.763 -3.006 3.642" Properties=species:S:1:pos:R:3 comment="La3SnN meta-GGA SCAN single point on PBEsol structure" raw_formation_energy_mev_per_atom=-1169.8 total_magnetization_mub_per_cell=0.000 pbc="T T T"
La 1.256 -2.838 1.754
La -1.886 -3.024 0.080
La 1.133 -2.855 -1.808
N 0.252 -4.359 0.013
Sn 0.000 0.000 0.000

No. 16
3
Lattice="3.777 0.000 0.000 -1.889 3.271 0.000 0.000 0.000 4.761" Properties=species:S:1:pos:R:3 comment="TePPt meta-GGA SCAN single point on PBEsol structure" raw_formation_energy_mev_per_atom=-358.8 total_magnetization_mub_per_cell=0.000 pbc="T T T"
Pt 1.889 1.090 3.343
P 0.000 0.000 4.387
Te 0.000 2.181 1.791

No. 17
5
Lattice="-0.623 -4.511 -0.336 3.975 -0.708 2.133 -2.159 -0.002 4.024" Properties=species:S:1:pos:R:3 comment="ZrMo3Se meta-GGA SCAN single point on PBEsol structure" raw_formation_energy_mev_per_atom=744.4 total_magnetization_mub_per_cell=1.432 pbc="T T T"
Mo 1.988 -0.354 1.066
Mo -1.080 -0.001 2.012
Mo -0.312 -2.256 -0.168
Se 0.000 0.000 0.000
Zr 0.597 -2.611 2.910

No. 18
5
Lattice="-1.194 2.469 -3.971 -4.852 -0.619 1.074 0.040 4.258 2.636" Properties=species:S:1:pos:R:3 comment="ReSbPtAu2 meta-GGA SCAN single point on PBEsol structure" raw_formation_energy_mev_per_atom=1448.6 total_magnetization_mub_per_cell=4.544 pbc="T T T"
Au 0.020 2.129 1.318
Au -2.426 -0.310 0.537
Sb -0.597 1.235 -1.985
Pt 0.000 0.000 0.000
Re -3.003 3.054 -0.131

No. 19
8
Lattice="3.438 0.000 0.000 0.000 3.438 0.000 0.000 0.000 9.280" Properties=species:S:1:pos:R:3 comment="LiBiO2 meta-GGA SCAN single point on PBEsol structure" raw_formation_energy_mev_per_atom=-1463.5 total_magnetization_mub_per_cell=0.000 pbc="T T T"
O 0.000 1.719 7.696
O 1.719 0.000 1.585
O 0.000 1.719 3.746
O 1.719 0.000 5.535
Li 0.000 0.000 4.640
Li 1.719 1.719 4.640
Bi 0.000 1.719 1.689
Bi 1.719 0.000 7.591

No. 20
72
Lattice="-5.870 -4.780 -0.561 4.661 -2.148 5.592 -4.302 9.970 5.265" Properties=species:S:1:pos:R:3 comment="Na2H20CO13 meta-GGA SCAN single point on PBEsol structure" e_tot_ev_per_cell=-423.2 total_magnetization_mub_per_cell=0.004 pbc="T T T"
H -4.005 3.980 7.591
H -3.992 2.533 6.867
H -6.782 -1.264 2.290
H -2.185 -2.989 6.318
H -3.296 6.038 3.928
H -2.975 -1.541 4.913
H -8.199 4.071 5.590
H -2.464 0.017 2.141
H -2.448 2.991 8.250
H -6.081 6.596 5.683
H -1.562 0.779 3.913
H -3.260 -3.514 2.442
H -2.373 4.452 4.926
H -1.252 -0.912 2.649
H -4.070 -0.797 1.016
H -6.411 0.867 3.154
H -0.761 5.498 7.116
H 1.866 1.150 7.508
H 2.633 -1.105 4.781
H -3.505 5.134 5.847
H -2.140 6.132 7.610
H -1.964 -5.393 3.463
H -1.310 2.193 4.644
H -1.464 4.224 9.679
H -4.289 -0.529 2.597
H 1.170 4.383 8.004
H -4.509 0.859 5.689
H 0.762 2.233 7.170
H -1.588 -2.130 4.386
H -4.351 -2.596 3.191
H 0.661 -1.418 3.948
H 1.414 -4.388 5.232
H -6.697 2.896 6.281
H -3.688 8.476 6.873
H -0.993 3.457 7.746
H 0.277 -3.452 4.583
H -6.286 4.461 6.402
H -3.102 1.475 5.211
H -7.400 1.997 2.732
H 1.205 0.091 4.010
O -0.446 -2.491 3.087
O -3.317 4.790 4.926
O 0.206 4.132 6.546
O -1.608 1.263 4.814
O -6.412 1.783 2.793
O -4.468 -1.243 4.181
O 0.482 -3.983 5.387
O 0.862 1.310 7.486
O -1.146 6.282 7.593
O -3.333 9.010 6.131
O 1.500 4.679 8.889
O -3.985 -0.097 1.752
O -1.472 3.115 8.542
O -2.229 -5.989 4.200
O -5.990 5.906 7.329
O -6.131 7.085 4.822
O -1.507 0.035 2.509
O -6.614 3.767 5.766
O -3.760 5.700 7.408
O -7.045 -1.586 1.385
O -4.243 -3.399 2.603
O -2.057 -1.821 5.209
O 1.055 -0.751 4.564
O -4.063 1.713 5.487
O -0.801 3.903 4.546
O -3.948 3.001 7.771
C -4.829 6.360 7.689
C -5.598 -0.930 4.714
Na -5.760 -3.492 0.673
Na -5.068 3.357 3.968
Na 0.232 6.584 9.641
Na -0.467 -0.307 6.376